The following is a GGA-PBE calculation of a relaxed ErLuAlCr crystal, from Alexandria.

a b c (Å): 7.095 7.095 7.095
angles (deg): 90.00 90.00 90.00
Fractional coordinates of all 16 atoms:
Er  0.000  0.000  0.000
Er  0.000  0.500  0.500
Er  0.500  0.000  0.500
Er  0.500  0.500  0.000
Lu  0.000  0.000  0.500
Lu  0.000  0.500  0.000
Lu  0.500  0.000  0.000
Lu  0.500  0.500  0.500
Al  0.250  0.250  0.250
Al  0.250  0.750  0.750
Al  0.750  0.250  0.750
Al  0.750  0.750  0.250
Cr  0.250  0.250  0.750
Cr  0.250  0.750  0.250
Cr  0.750  0.250  0.250
Cr  0.750  0.750  0.750

Properties
Size of the total moment   3.80 μB per formula unit
DFT formation energy   -39.8 meV/atom
Energy   -5.65 eV/atom
SG   No. 216
Density   7.83 g cm⁻³